Record 1
! BaCdBr | Alexandria | PBE-GGA | optimized geometry; values from VASP
&SYSTEM
  ibrav = 0, nat = 12, ntyp = 3
/
ATOMIC_SPECIES
Ba 137.33 Ba.upf
Cd 112.41 Cd.upf
Br 79.90 Br.upf
CELL_PARAMETERS angstrom
7.843 0.000 0.000
0.000 7.843 0.000
0.000 0.000 7.843
ATOMIC_POSITIONS angstrom
Ba 0.000 0.000 0.000
Ba 0.000 3.921 3.921
Ba 3.921 0.000 3.921
Ba 3.921 3.921 0.000
Cd 0.000 0.000 3.921
Cd 0.000 3.921 0.000
Cd 3.921 0.000 0.000
Cd 3.921 3.921 3.921
Br 1.961 1.961 1.961
Br 1.961 5.882 5.882
Br 5.882 1.961 5.882
Br 5.882 5.882 1.961
! N(E_F): 7.56 states/eV per cell
! ΔE to the lowest computed polymorph: 0.078 eV per atom

Record 2
! CdIn | Alexandria | PBE-GGA | optimized geometry; values from VASP
&SYSTEM
  ibrav = 0, nat = 8, ntyp = 2
/
ATOMIC_SPECIES
Cd 112.41 Cd.upf
In 114.82 In.upf
CELL_PARAMETERS angstrom
4.553 0.000 0.000
0.000 4.571 0.000
0.000 0.000 9.587
ATOMIC_POSITIONS angstrom
Cd 0.000 1.143 1.093
Cd 0.000 3.428 8.493
Cd 2.277 1.143 8.493
Cd 2.277 3.428 1.093
In 0.000 1.143 6.094
In 0.000 3.428 3.492
In 2.277 1.143 3.492
In 2.277 3.428 6.094
! ΔE_f: 0.0219 eV per atom
! N(E_F): 2.72 states/eV per cell

Record 3
! AcSmDy4Se8 | Alexandria | PBE-GGA | optimized geometry; values from VASP
&SYSTEM
  ibrav = 0, nat = 14, ntyp = 4
/
ATOMIC_SPECIES
Ac 227.00 Ac.upf
Sm 150.36 Sm.upf
Dy 162.50 Dy.upf
Se 78.96 Se.upf
CELL_PARAMETERS angstrom
4.273 2.467 7.031
-4.273 2.467 7.031
0.000 -4.934 7.031
ATOMIC_POSITIONS angstrom
Ac 0.000 0.000 0.000
Sm 0.000 0.000 7.951
Dy 0.000 -2.416 11.385
Dy -2.092 1.208 11.385
Dy 0.000 0.000 15.783
Dy 2.092 1.208 11.385
Se 0.000 -2.196 5.989
Se -1.902 1.098 5.989
Se 0.000 0.000 2.945
Se -2.060 -1.189 9.736
Se 1.902 1.098 5.989
Se 0.000 0.000 13.018
Se 2.060 -1.189 9.736
Se 0.000 2.379 9.736
! N(E_F): 9.13 states/eV per cell
! E: -5.66 eV/atom

Record 4
! Ca2GdCd | Alexandria | PBE-GGA | optimized geometry; values from VASP
&SYSTEM
  ibrav = 0, nat = 4, ntyp = 3
/
ATOMIC_SPECIES
Ca 40.08 Ca.upf
Gd 157.25 Gd.upf
Cd 112.41 Cd.upf
CELL_PARAMETERS angstrom
3.748 0.000 0.000
0.000 3.748 0.000
0.000 0.000 9.372
ATOMIC_POSITIONS angstrom
Ca 0.000 0.000 1.980
Ca 0.000 0.000 7.392
Gd 1.874 1.874 4.686
Cd 1.874 1.874 0.000
! ΔE_f: -0.1007 eV per atom
! N(E_F): 6.39 states/eV per cell
! ΔE to the lowest computed polymorph: 0.000 eV per atom

Record 5
! CdRuCl4 | Alexandria | PBE-GGA | optimized geometry; values from VASP
&SYSTEM
  ibrav = 0, nat = 6, ntyp = 3
/
ATOMIC_SPECIES
Cd 112.41 Cd.upf
Ru 101.07 Ru.upf
Cl 35.45 Cl.upf
CELL_PARAMETERS angstrom
0.000 4.131 4.131
4.131 0.000 4.131
4.131 4.131 0.000
ATOMIC_POSITIONS angstrom
Cd 0.000 0.000 0.000
Ru 2.065 2.065 2.065
Cl 5.162 3.100 3.100
Cl 3.100 5.162 3.100
Cl 3.100 3.100 5.162
Cl 5.162 5.162 5.162
! N(E_F): 9.24 states/eV per cell
! E: -1.99 eV/atom

Record 6
! Ac6CuHg3Ir2 | Alexandria | PBE-GGA | optimized geometry; values from VASP
&SYSTEM
  ibrav = 0, nat = 12, ntyp = 4
/
ATOMIC_SPECIES
Ac 227.00 Ac.upf
Cu 63.55 Cu.upf
Hg 200.59 Hg.upf
Ir 192.22 Ir.upf
CELL_PARAMETERS angstrom
3.792 -6.555 0.000
3.792 6.555 0.000
-2.512 0.000 8.202
ATOMIC_POSITIONS angstrom
Ac -0.042 2.276 6.505
Ac 1.163 0.000 1.665
Ac -0.042 -2.276 6.505
Ac 5.114 2.276 1.696
Ac 3.909 0.000 6.537
Ac 5.114 -2.276 1.696
Cu 3.792 0.000 0.000
Hg -1.256 0.000 4.101
Hg 2.536 2.076 4.101
Hg 2.536 -2.076 4.101
Ir 3.792 4.360 0.000
Ir 3.792 -4.360 0.000
! ΔE_f: -0.5005 eV per atom
! N(E_F): 6.50 states/eV per cell

Record 7
! Li2LaScSi | Alexandria | PBE-GGA | optimized geometry; values from VASP
&SYSTEM
  ibrav = 0, nat = 5, ntyp = 4
/
ATOMIC_SPECIES
Li 6.94 Li.upf
La 138.91 La.upf
Sc 44.96 Sc.upf
Si 28.09 Si.upf
CELL_PARAMETERS angstrom
4.935 0.000 0.000
0.000 4.935 0.000
0.000 0.000 5.560
ATOMIC_POSITIONS angstrom
Li 0.000 2.468 0.000
Li 2.468 0.000 0.000
La 0.000 0.000 2.780
Sc 0.000 0.000 0.000
Si 2.468 2.468 2.780
! N(E_F): 5.22 states/eV per cell
! E: -3.15 eV/atom

Record 8
! Tb2CeGe3 | Alexandria | PBE-GGA | optimized geometry; values from VASP
&SYSTEM
  ibrav = 0, nat = 12, ntyp = 3
/
ATOMIC_SPECIES
Tb 158.93 Tb.upf
Ce 140.12 Ce.upf
Ge 72.64 Ge.upf
CELL_PARAMETERS angstrom
4.177 0.000 0.000
0.000 5.928 0.000
0.000 0.000 12.595
ATOMIC_POSITIONS angstrom
Tb 0.000 0.000 2.114
Tb 0.000 0.000 10.481
Tb 2.089 2.964 4.183
Tb 2.089 2.964 8.412
Ce 0.000 0.000 6.298
Ce 2.089 2.964 0.000
Ge 0.000 2.964 2.079
Ge 0.000 2.964 6.298
Ge 0.000 2.964 10.516
Ge 2.089 0.000 0.000
Ge 2.089 0.000 4.219
Ge 2.089 0.000 8.376
! ΔE_f: -0.6607 eV per atom
! N(E_F): 15.66 states/eV per cell